# TaAg2W (GGA-PBE, relaxed)
# spin magnetization	0.000	μB/atom
# E above lowest polymorph	135	meV per atom
# total DFT energy (no corrections)	-7.256	eV per atom
# calculated formation energy	0.37	eV per atom
data_TaAg2W
_cell_length_a 2.8538
_cell_length_b 2.8538
_cell_length_c 29.7632
_cell_angle_alpha 90.00
_cell_angle_beta 90.00
_cell_angle_gamma 120.00
_symmetry_space_group_name_H-M 'R 3 m'
_symmetry_Int_Tables_number 160
_symmetry_space_group_name_Hall 'R 3 -2"'
loop_
_atom_site_label
_atom_site_type_symbol
_atom_site_fract_x
_atom_site_fract_y
_atom_site_fract_z
_atom_site_occupancy
Ta1 Ta 0.0000 0.0000 0.0000 1
Ag1 Ag 0.0000 0.0000 0.5007 1
Ag2 Ag 0.0000 0.0000 0.7510 1
W1 W 0.0000 0.0000 0.2494 1

# TaAg2W (GGA-PBE, relaxed)
# spin magnetization	0.000	μB/atom
# E above lowest polymorph	178	meV per atom
# total DFT energy (no corrections)	-7.213	eV per atom
# calculated formation energy	0.41	eV per atom
data_TaAg2W
_cell_length_a 3.3845
_cell_length_b 3.3845
_cell_length_c 6.1664
_cell_angle_alpha 90.00
_cell_angle_beta 90.00
_cell_angle_gamma 90.00
_symmetry_space_group_name_H-M 'P 4 m m'
_symmetry_Int_Tables_number 99
loop_
_symmetry_equiv_pos_as_xyz
'x,y,z'
'-y,x,z'
'-x,-y,z'
'y,-x,z'
'-x,y,z'
'y,x,z'
'x,-y,z'
'-y,-x,z'
loop_
_atom_site_label
_atom_site_type_symbol
_atom_site_fract_x
_atom_site_fract_y
_atom_site_fract_z
_atom_site_occupancy
Ta1 Ta 0.0000 0.0000 0.0000 1
Ag1 Ag 0.0000 0.0000 0.4828 1
Ag2 Ag 0.5000 0.5000 0.7174 1
W1 W 0.5000 0.5000 0.2053 1

# TaAg2W (GGA-PBE, relaxed)
# spin magnetization	0.000	μB/atom
# E above lowest polymorph	581	meV per atom
# total DFT energy (no corrections)	-6.810	eV per atom
# calculated formation energy	0.82	eV per atom
data_TaAg2W
_cell_length_a 5.0287
_cell_length_b 5.0287
_cell_length_c 2.7517
_cell_angle_alpha 90.00
_cell_angle_beta 90.00
_cell_angle_gamma 90.00
_symmetry_space_group_name_H-M 'P 4/m m m'
_symmetry_Int_Tables_number 123
_symmetry_space_group_name_Hall '-P 4 2'
loop_
_atom_site_label
_atom_site_type_symbol
_atom_site_fract_x
_atom_site_fract_y
_atom_site_fract_z
_atom_site_occupancy
Ta1 Ta 0.0000 0.0000 0.0000 1
Ag1 Ag 0.0000 0.5000 0.5000 1
W1 W 0.5000 0.5000 0.0000 1

# TaAg2W (GGA-PBE, relaxed)
# spin magnetization	0.000	μB/atom
# E above lowest polymorph	302	meV per atom
# total DFT energy (no corrections)	-7.089	eV per atom
# calculated formation energy	0.54	eV per atom
data_TaAg2W
_cell_length_a 3.8915
_cell_length_b 3.8915
_cell_length_c 4.5172
_cell_angle_alpha 90.00
_cell_angle_beta 90.00
_cell_angle_gamma 90.00
_symmetry_space_group_name_H-M 'P 4/m m m'
_symmetry_Int_Tables_number 123
_symmetry_space_group_name_Hall '-P 4 2'
loop_
_atom_site_label
_atom_site_type_symbol
_atom_site_fract_x
_atom_site_fract_y
_atom_site_fract_z
_atom_site_occupancy
Ta1 Ta 0.0000 0.0000 0.0000 1
Ag1 Ag 0.0000 0.5000 0.5000 1
W1 W 0.5000 0.5000 0.0000 1

# Ta2ZnAgW (GGA-PBE, relaxed)
# spin magnetization	0.000	μB/atom
# total DFT energy (no corrections)	-5.871	eV per atom
# calculated formation energy	2.29	eV per atom
data_Ta2ZnAgW
_cell_length_a 4.8683
_cell_length_b 4.8683
_cell_length_c 4.8172
_cell_angle_alpha 90.00
_cell_angle_beta 90.00
_cell_angle_gamma 90.00
_symmetry_space_group_name_H-M 'P 4/m m m'
_symmetry_Int_Tables_number 123
_symmetry_space_group_name_Hall '-P 4 2'
loop_
_atom_site_label
_atom_site_type_symbol
_atom_site_fract_x
_atom_site_fract_y
_atom_site_fract_z
_atom_site_occupancy
Ta1 Ta 0.0000 0.5000 0.0000 1
Zn1 Zn 0.0000 0.0000 0.5000 1
Ag1 Ag 0.5000 0.5000 0.0000 1
W1 W 0.5000 0.5000 0.5000 1

# YTaAg2 (GGA-PBE, relaxed)
# spin magnetization	0.000	μB/atom
# E above lowest polymorph	204	meV per atom
# total DFT energy (no corrections)	-5.652	eV per atom
# calculated formation energy	0.35	eV per atom
data_YTaAg2
_cell_length_a 3.0498
_cell_length_b 3.0498
_cell_length_c 30.4713
_cell_angle_alpha 90.00
_cell_angle_beta 90.00
_cell_angle_gamma 120.00
_symmetry_space_group_name_H-M 'R -3 m'
_symmetry_Int_Tables_number 166
_symmetry_space_group_name_Hall '-R 3 2"'
loop_
_atom_site_label
_atom_site_type_symbol
_atom_site_fract_x
_atom_site_fract_y
_atom_site_fract_z
_atom_site_occupancy
Y1 Y 0.0000 0.0000 0.0000 1
Ta1 Ta 0.0000 0.0000 0.5000 1
Ag1 Ag 0.0000 0.0000 0.2453 1

# Y2TaAg (GGA-PBE, relaxed)
# spin magnetization	0.000	μB/atom
# E above lowest polymorph	716	meV per atom
# total DFT energy (no corrections)	-6.115	eV per atom
# calculated formation energy	0.79	eV per atom
data_Y2TaAg
_cell_length_a 4.4042
_cell_length_b 4.4042
_cell_length_c 20.5111
_cell_angle_alpha 90.00
_cell_angle_beta 90.00
_cell_angle_gamma 90.00
_symmetry_space_group_name_H-M 'I -4 2 d'
_symmetry_Int_Tables_number 122
_symmetry_space_group_name_Hall 'I -4 2bw'
loop_
_atom_site_label
_atom_site_type_symbol
_atom_site_fract_x
_atom_site_fract_y
_atom_site_fract_z
_atom_site_occupancy
Y1 Y 0.2502 0.2500 0.1250 1
Ta1 Ta 0.0000 0.0000 0.0000 1
Ag1 Ag 0.0000 0.0000 0.5000 1

# YTaAg2 (GGA-PBE, relaxed)
# spin magnetization	0.000	μB/atom
# E above lowest polymorph	133	meV per atom
# total DFT energy (no corrections)	-5.723	eV per atom
# calculated formation energy	0.28	eV per atom
data_YTaAg2
_cell_length_a 10.1937
_cell_length_b 3.0101
_cell_length_c 5.4386
_cell_angle_alpha 90.00
_cell_angle_beta 101.64
_cell_angle_gamma 90.00
_symmetry_space_group_name_H-M 'C 1 m 1'
_symmetry_Int_Tables_number 8
loop_
_symmetry_equiv_pos_as_xyz
'x,y,z'
'x,-y,z'
'x+1/2,y+1/2,z'
'x+1/2,-y+1/2,z'
loop_
_atom_site_label
_atom_site_type_symbol
_atom_site_fract_x
_atom_site_fract_y
_atom_site_fract_z
_atom_site_occupancy
Y1 Y 0.0000 0.0000 0.0000 1
Ta1 Ta 0.2556 0.5000 0.3144 1
Ag1 Ag 0.0044 0.5000 0.4979 1
Ag2 Ag 0.2407 0.0000 0.7798 1